(1)
First-principles (PBE-GGA) data for a geometry-optimized RbTbCoTe3 structure, as listed in OQMD.

Cell: 16.9398 4.2613 11.5008 Å, 90.00 90.00 90.00°
Fractional positions:
1 Co 0.0107 0.7500 0.0859
2 Co 0.5107 0.7500 0.4141
3 Co 0.4893 0.2500 0.5859
4 Co 0.9893 0.2500 0.9141
5 Rb 0.2347 0.2500 0.0110
6 Rb 0.7347 0.2500 0.4890
7 Rb 0.2653 0.7500 0.5110
8 Rb 0.7653 0.7500 0.9890
9 Tb 0.5234 0.2500 0.1560
10 Tb 0.0234 0.2500 0.3440
11 Tb 0.9766 0.7500 0.6560
12 Tb 0.4766 0.7500 0.8440
13 Te 0.4003 0.7500 0.0839
14 Te 0.9272 0.2500 0.1109
15 Te 0.1292 0.7500 0.2307
16 Te 0.6292 0.7500 0.2693
17 Te 0.4272 0.2500 0.3891
18 Te 0.9003 0.7500 0.4161
19 Te 0.0997 0.2500 0.5839
20 Te 0.5728 0.7500 0.6109
21 Te 0.3708 0.2500 0.7307
22 Te 0.8708 0.2500 0.7693
23 Te 0.0728 0.7500 0.8891
24 Te 0.5997 0.2500 0.9161

Computed properties:
Total magnetization   7.95 Bohr magnetons per cell
Crystal system   orthorhombic
Uncorrected energy   -27.26 eV per formula unit


(2)
First-principles (PBE-GGA) data for a geometry-optimized RbTbCoTe3 structure, as listed in OQMD.

Cell: 12.3582 4.5071 13.5744 Å, 90.00 90.00 90.00°
Fractional positions:
1 Co 0.2502 0.7500 0.2029
2 Co 0.7502 0.7500 0.2971
3 Co 0.2498 0.2500 0.7029
4 Co 0.7498 0.2500 0.7971
5 Rb 0.8168 0.7500 0.0032
6 Rb 0.3168 0.7500 0.4968
7 Rb 0.6832 0.2500 0.5032
8 Rb 0.1832 0.2500 0.9968
9 Tb 0.5226 0.2500 0.1789
10 Tb 0.0226 0.2500 0.3211
11 Tb 0.9774 0.7500 0.6789
12 Tb 0.4774 0.7500 0.8211
13 Te 0.3983 0.7500 0.0647
14 Te 0.0484 0.7500 0.1663
15 Te 0.7807 0.2500 0.2148
16 Te 0.2807 0.2500 0.2852
17 Te 0.5484 0.7500 0.3337
18 Te 0.8983 0.7500 0.4353
19 Te 0.1017 0.2500 0.5647
20 Te 0.4516 0.2500 0.6663
21 Te 0.7193 0.7500 0.7148
22 Te 0.2193 0.7500 0.7852
23 Te 0.9516 0.2500 0.8337
24 Te 0.6017 0.2500 0.9353

Computed properties:
Total magnetization   8.41 Bohr magnetons per cell
Crystal system   orthorhombic
Uncorrected energy   -26.72 eV per formula unit


(3)
First-principles (PBE-GGA) data for a geometry-optimized RbTbCoTe3 structure, as listed in OQMD.

Cell: 12.2563 4.5118 13.5418 Å, 90.00 90.00 90.00°
Fractional positions:
1 Co 0.7491 0.0000 0.2035
2 Co 0.2491 0.0000 0.2965
3 Co 0.7509 0.5000 0.7035
4 Co 0.2509 0.5000 0.7965
5 Rb 0.1830 0.0000 0.0027
6 Rb 0.6830 0.0000 0.4973
7 Rb 0.3170 0.5000 0.5027
8 Rb 0.8170 0.5000 0.9973
9 Tb 0.4813 0.5000 0.1829
10 Tb 0.9813 0.5000 0.3171
11 Tb 0.0187 0.0000 0.6829
12 Tb 0.5187 0.0000 0.8171
13 Te 0.6003 0.0000 0.0662
14 Te 0.9522 0.0000 0.1643
15 Te 0.2209 0.5000 0.2131
16 Te 0.7209 0.5000 0.2869
17 Te 0.4522 0.0000 0.3357
18 Te 0.1003 0.0000 0.4338
19 Te 0.8997 0.5000 0.5662
20 Te 0.5478 0.5000 0.6643
21 Te 0.2791 0.0000 0.7131
22 Te 0.7791 0.0000 0.7869
23 Te 0.0478 0.5000 0.8357
24 Te 0.3997 0.5000 0.9338

Computed properties:
Total magnetization   8.36 Bohr magnetons per cell
Crystal system   orthorhombic
Uncorrected energy   -26.71 eV per formula unit